Entry 1:
Material: ZrIn2Br
Method: DFT, PBE
State: optimized geometry

Lattice parameters (Å, degrees): 5.163 5.163 5.163 60.00 60.00 60.00
Each line ends with the local moment (μB).
Sites, in units of the cell vectors:
In1 0.000 0.000 0.000  0.03
In2 0.250 0.250 0.250  0.00
Br1 0.500 0.500 0.500  -0.02
Zr1 0.750 0.750 0.750  0.54

Output
Offset from the most stable computed form ... 561 meV per atom
SG ... No. 216
ΔE_f (raw) ... 11 kJ per mole of atoms

---

Entry 2:
Material: ZrIn2Br5
Method: DFT, PBE
State: optimized geometry

Lattice parameters (Å, degrees): 9.280 9.280 7.382 128.71 128.95 90.00
Each line ends with the local moment (μB).
Sites, in units of the cell vectors:
In1 0.575 0.077 0.150  0.00
In2 0.075 0.574 0.150  0.00
Br1 0.308 0.308 0.232  0.00
Br2 0.649 0.649 0.297  0.00
Br3 0.308 0.923 0.231  0.00
Br4 0.924 0.308 0.232  0.00
Br5 0.923 0.923 0.231  0.00
Zr1 0.016 0.015 0.031  0.14

Output
SG ... No. 8
ΔE_f (raw) ... -89 kJ per mole of atoms